Below is a geometry-optimized Pm12NdSi7 structure, with properties calculated at the GGA-PBE level.

Unit cell a=9.1335 b=9.1335 c=9.1335 alpha=110.61 beta=110.61 gamma=110.61
With the nearest neighbours (Å) after each atom.
Positions (direct):
Pm (0.0000, 0.2669, 0.7331)  4 Si 2.96-3.15
Pm (0.0000, 0.7331, 0.2669)  4 Si 2.96-3.15
Pm (0.1671, 0.4693, 0.4693)  3 Si 2.85-2.97
Pm (0.2669, 0.0000, 0.7331)  4 Si 2.96-3.15
Pm (0.2669, 0.7331, 0.0000)  4 Si 2.96-3.15
Pm (0.4693, 0.1671, 0.4693)  3 Si 2.85-2.97
Pm (0.4693, 0.4693, 0.1671)  3 Si 2.85-2.97
Pm (0.5307, 0.5307, 0.8329)  3 Si 2.85-2.97
Pm (0.5307, 0.8329, 0.5307)  3 Si 2.85-2.97
Pm (0.7331, 0.0000, 0.2669)  4 Si 2.96-3.15
Pm (0.7331, 0.2669, 0.0000)  4 Si 2.96-3.15
Pm (0.8329, 0.5307, 0.5307)  3 Si 2.85-2.97
Nd (0.0000, 0.0000, 0.0000)  6 Si 3.57
Si (0.1329, 0.1329, 0.4660)  6 Pm 2.96-3.15, 1 Si 3.18
Si (0.1329, 0.4660, 0.1329)  6 Pm 2.96-3.15, 1 Si 3.18
Si (0.4660, 0.1329, 0.1329)  6 Pm 2.96-3.15, 1 Si 3.18
Si (0.5000, 0.5000, 0.5000)  6 Pm 2.85
Si (0.5340, 0.8671, 0.8671)  6 Pm 2.96-3.15, 1 Si 3.18
Si (0.8671, 0.5340, 0.8671)  6 Pm 2.96-3.15, 1 Si 3.18
Si (0.8671, 0.8671, 0.5340)  6 Pm 2.96-3.15, 1 Si 3.18

Values from the calculation:
- Formation energy (no corrections): -0.390 eV per atom